The following is a PBE calculation of crystalline PmSmAu at its relaxed geometry, from Alexandria via LeMat-Bulk.

**Magnetic moment**: 0.000 μB/cell
**Mass density**: 9.717 g/cm3
**Offset from the most stable computed form**: 189 meV per atom
**Space group**: P3m1
**Calculated formation energy**: -0.3820 eV per atom
**D(E_F)**: 2.2 states/eV/f.u.
**E_tot**: -4.631 eV/atom

abc: 4.979 4.979 3.918
angles: 90.00 90.00 120.00
Fractional positions:
Pm 0.000 0.000 0.000
Sm 0.333 0.667 0.451
Au 0.667 0.333 0.717